DFT (GGA-PBE) results for a geometry-optimized LiMo2Rh structure.

CIF file:
```
data_LiMo2Rh
_chemical_formula_sum 'Li1 Mo2 Rh1'
_cell_length_a 2.6940
_cell_length_b 4.2587
_cell_length_c 5.0842
_cell_angle_alpha 90.00
_cell_angle_beta 96.98
_cell_angle_gamma 90.00
_symmetry_space_group_name_H-M 'P 1 m 1'
_symmetry_Int_Tables_number 6
loop_
_symmetry_equiv_pos_as_xyz
'x,y,z'
'x,-y,z'
loop_
_atom_site_label
_atom_site_fract_x
_atom_site_fract_y
_atom_site_fract_z
Li1 0.0000 0.0000 0.0000
Mo1 0.4759 0.0000 0.5038
Mo2 0.6765 0.5000 0.2279
Rh1 0.1381 0.5000 0.7493
```

Summary:
Formation energy from the elements ... 0.097 eV per atom
E_tot ... -7.634 eV per atom
Spin magnetization ... 0.000 μB/atom
Crystal system ... monoclinic

DFT (GGA-PBE) results for a geometry-optimized LiMo4Rh5 structure.

CIF file:
```
data_LiMo4Rh5
_chemical_formula_sum 'Li1 Mo4 Rh5'
_cell_length_a 2.7905
_cell_length_b 2.7905
_cell_length_c 18.4370
_cell_angle_alpha 90.00
_cell_angle_beta 90.00
_cell_angle_gamma 90.00
_symmetry_space_group_name_H-M 'P 4/m m m'
_symmetry_Int_Tables_number 123
_symmetry_space_group_name_Hall '-P 4 2'
loop_
_atom_site_label
_atom_site_fract_x
_atom_site_fract_y
_atom_site_fract_z
Li1 0.0000 0.0000 0.0000
Mo1 0.0000 0.0000 0.1836
Mo2 0.0000 0.0000 0.3948
Rh1 0.5000 0.5000 0.0866
Rh2 0.5000 0.5000 0.2908
Rh3 0.5000 0.5000 0.5000
```

Summary:
Formation energy from the elements ... -0.170 eV per atom
E_tot ... -8.370 eV per atom
Spin magnetization ... 0.000 μB/atom
Crystal system ... tetragonal

DFT (GGA-PBE) results for a geometry-optimized LiMo2Rh2 structure.

CIF file:
```
data_LiMo2Rh2
_chemical_formula_sum 'Li2 Mo4 Rh4'
_cell_length_a 7.7208
_cell_length_b 7.7208
_cell_length_c 2.7293
_cell_angle_alpha 90.00
_cell_angle_beta 90.00
_cell_angle_gamma 90.00
_symmetry_space_group_name_H-M 'P 4/m b m'
_symmetry_Int_Tables_number 127
_symmetry_space_group_name_Hall '-P 4 2ab'
loop_
_atom_site_label
_atom_site_fract_x
_atom_site_fract_y
_atom_site_fract_z
Li1 0.0000 0.0000 0.0000
Mo1 0.1186 0.3814 0.0000
Rh1 0.1728 0.6728 0.5000
```

Summary:
Formation energy from the elements ... 0.016 eV per atom
E_tot ... -7.640 eV per atom
Spin magnetization ... 0.000 μB/atom
Crystal system ... tetragonal

DFT (GGA-PBE) results for a geometry-optimized LiMo4Rh structure.

CIF file:
```
data_LiMo4Rh
_chemical_formula_sum 'Li4 Mo16 Rh4'
_cell_length_a 7.3248
_cell_length_b 7.3248
_cell_length_c 7.3248
_cell_angle_alpha 90.00
_cell_angle_beta 90.00
_cell_angle_gamma 90.00
_symmetry_space_group_name_H-M 'F -4 3 m'
_symmetry_Int_Tables_number 216
_symmetry_space_group_name_Hall 'F -4 2 3'
loop_
_atom_site_label
_atom_site_fract_x
_atom_site_fract_y
_atom_site_fract_z
Li1 0.0000 0.0000 0.0000
Mo1 0.1259 0.1259 0.6259
Rh1 0.2500 0.2500 0.2500
```

Summary:
Formation energy from the elements ... 0.385 eV per atom
E_tot ... -8.380 eV per atom
Spin magnetization ... 0.000 μB/atom
Crystal system ... cubic

DFT (GGA-PBE) results for a geometry-optimized LiMo2Rh structure.

CIF file:
```
data_LiMo2Rh
_chemical_formula_sum 'Li2 Mo4 Rh2'
_cell_length_a 3.2958
_cell_length_b 4.3132
_cell_length_c 8.5307
_cell_angle_alpha 90.00
_cell_angle_beta 90.00
_cell_angle_gamma 90.00
_symmetry_space_group_name_H-M 'C m m 2'
_symmetry_Int_Tables_number 35
loop_
_symmetry_equiv_pos_as_xyz
'x,y,z'
'-x,-y,z'
'-x,y,z'
'x,-y,z'
'x+1/2,y+1/2,z'
'-x+1/2,-y+1/2,z'
'-x+1/2,y+1/2,z'
'x+1/2,-y+1/2,z'
loop_
_atom_site_label
_atom_site_fract_x
_atom_site_fract_y
_atom_site_fract_z
Li1 0.0000 0.0000 0.0000
Mo1 0.0000 0.0000 0.5294
Mo2 0.0000 0.5000 0.2730
Rh1 0.0000 0.5000 0.7653
```

Summary:
Formation energy from the elements ... 0.106 eV per atom
E_tot ... -7.626 eV per atom
Spin magnetization ... 0.000 μB/atom
Crystal system ... orthorhombic

DFT (GGA-PBE) results for a geometry-optimized LiMoRh2 structure.

CIF file:
```
data_LiMoRh2
_chemical_formula_sum 'Li2 Mo2 Rh4'
_cell_length_a 4.0817
_cell_length_b 4.0817
_cell_length_c 6.6933
_cell_angle_alpha 90.00
_cell_angle_beta 90.00
_cell_angle_gamma 90.00
_symmetry_space_group_name_H-M 'I 4/m m m'
_symmetry_Int_Tables_number 139
_symmetry_space_group_name_Hall '-I 4 2'
loop_
_atom_site_label
_atom_site_fract_x
_atom_site_fract_y
_atom_site_fract_z
Li1 0.0000 0.0000 0.0000
Mo1 0.0000 0.0000 0.5000
Rh1 0.0000 0.5000 0.2500
```

Summary:
Formation energy from the elements ... -0.154 eV per atom
E_tot ... -7.016 eV per atom
Spin magnetization ... 0.000 μB/atom
Crystal system ... tetragonal

DFT (GGA-PBE) results for a geometry-optimized LiMoRuRh structure.

CIF file:
```
data_LiMoRuRh
_chemical_formula_sum 'Li4 Mo4 Ru4 Rh4'
_cell_length_a 6.0473
_cell_length_b 6.0473
_cell_length_c 6.0473
_cell_angle_alpha 90.00
_cell_angle_beta 90.00
_cell_angle_gamma 90.00
_symmetry_space_group_name_H-M 'F -4 3 m'
_symmetry_Int_Tables_number 216
_symmetry_space_group_name_Hall 'F -4 2 3'
loop_
_atom_site_label
_atom_site_fract_x
_atom_site_fract_y
_atom_site_fract_z
Li1 0.0000 0.0000 0.0000
Mo1 0.0000 0.0000 0.5000
Ru1 0.2500 0.2500 0.7500
Rh1 0.2500 0.2500 0.2500
```

Summary:
Formation energy from the elements ... -0.099 eV per atom
E_tot ... -7.442 eV per atom
Spin magnetization ... 0.000 μB/atom
Crystal system ... cubic

DFT (GGA-PBE) results for a geometry-optimized LiTcMoRh structure.

CIF file:
```
data_LiTcMoRh
_chemical_formula_sum 'Li4 Tc4 Mo4 Rh4'
_cell_length_a 6.0792
_cell_length_b 6.0792
_cell_length_c 6.0792
_cell_angle_alpha 90.00
_cell_angle_beta 90.00
_cell_angle_gamma 90.00
_symmetry_space_group_name_H-M 'F -4 3 m'
_symmetry_Int_Tables_number 216
_symmetry_space_group_name_Hall 'F -4 2 3'
loop_
_atom_site_label
_atom_site_fract_x
_atom_site_fract_y
_atom_site_fract_z
Li1 0.0000 0.0000 0.0000
Tc1 0.2500 0.2500 0.7500
Mo1 0.0000 0.0000 0.5000
Rh1 0.2500 0.2500 0.2500
```

Summary:
Formation energy from the elements ... 0.007 eV per atom
E_tot ... -7.609 eV per atom
Spin magnetization ... 0.000 μB/atom
Crystal system ... cubic

DFT (GGA-PBE) results for a geometry-optimized Li2TiMoRh structure.

CIF file:
```
data_Li2TiMoRh
_chemical_formula_sum 'Li2 Ti1 Mo1 Rh1'
_cell_length_a 4.3506
_cell_length_b 4.3506
_cell_length_c 4.3686
_cell_angle_alpha 90.00
_cell_angle_beta 90.00
_cell_angle_gamma 90.00
_symmetry_space_group_name_H-M 'P 4/m m m'
_symmetry_Int_Tables_number 123
_symmetry_space_group_name_Hall '-P 4 2'
loop_
_atom_site_label
_atom_site_fract_x
_atom_site_fract_y
_atom_site_fract_z
Li1 0.0000 0.5000 0.0000
Ti1 0.0000 0.0000 0.0000
Mo1 0.5000 0.5000 0.5000
Rh1 0.0000 0.0000 0.5000
```

Summary:
Formation energy from the elements ... 1.232 eV per atom
E_tot ... -4.749 eV per atom
Spin magnetization ... 0.133 μB/atom
Crystal system ... tetragonal

DFT (GGA-PBE) results for a geometry-optimized Li2VMoRh structure.

CIF file:
```
data_Li2VMoRh
_chemical_formula_sum 'Li2 V1 Mo1 Rh1'
_cell_length_a 4.3170
_cell_length_b 4.3170
_cell_length_c 4.3506
_cell_angle_alpha 90.00
_cell_angle_beta 90.00
_cell_angle_gamma 90.00
_symmetry_space_group_name_H-M 'P 4/m m m'
_symmetry_Int_Tables_number 123
_symmetry_space_group_name_Hall '-P 4 2'
loop_
_atom_site_label
_atom_site_fract_x
_atom_site_fract_y
_atom_site_fract_z
Li1 0.0000 0.5000 0.0000
V1 0.0000 0.0000 0.0000
Mo1 0.0000 0.0000 0.5000
Rh1 0.5000 0.5000 0.5000
```

Summary:
Formation energy from the elements ... 1.257 eV per atom
E_tot ... -4.968 eV per atom
Spin magnetization ... 0.192 μB/atom
Crystal system ... tetragonal

DFT (GGA-PBE) results for a geometry-optimized LiZn2MoRh structure.

CIF file:
```
data_LiZn2MoRh
_chemical_formula_sum 'Li1 Zn2 Mo1 Rh1'
_cell_length_a 4.8165
_cell_length_b 4.8165
_cell_length_c 4.7599
_cell_angle_alpha 90.00
_cell_angle_beta 90.00
_cell_angle_gamma 90.00
_symmetry_space_group_name_H-M 'P 4/m m m'
_symmetry_Int_Tables_number 123
_symmetry_space_group_name_Hall '-P 4 2'
loop_
_atom_site_label
_atom_site_fract_x
_atom_site_fract_y
_atom_site_fract_z
Li1 0.0000 0.0000 0.0000
Zn1 0.0000 0.5000 0.5000
Mo1 0.5000 0.5000 0.0000
Rh1 0.5000 0.5000 0.5000
```

Summary:
Formation energy from the elements ... 0.597 eV per atom
E_tot ... -3.932 eV per atom
Spin magnetization ... 0.462 μB/atom
Crystal system ... tetragonal

DFT (GGA-PBE) results for a geometry-optimized LiMoRu structure.

CIF file:
```
data_LiMoRu
_chemical_formula_sum 'Li2 Mo2 Ru2'
_cell_length_a 3.0892
_cell_length_b 3.0892
_cell_length_c 8.7805
_cell_angle_alpha 90.00
_cell_angle_beta 90.00
_cell_angle_gamma 90.00
_symmetry_space_group_name_H-M 'I 4 m m'
_symmetry_Int_Tables_number 107
_symmetry_space_group_name_Hall 'I 4 -2'
loop_
_atom_site_label
_atom_site_fract_x
_atom_site_fract_y
_atom_site_fract_z
Li1 0.0000 0.0000 0.0000
Mo1 0.0000 0.0000 0.3192
Ru1 0.0000 0.0000 0.6636
```

Summary:
Formation energy from the elements ... 0.221 eV per atom
E_tot ... -7.120 eV per atom
Spin magnetization ... 0.000 μB/atom
Crystal system ... tetragonal

DFT (GGA-PBE) results for a geometry-optimized LiMoRu2 structure.

CIF file:
```
data_LiMoRu2
_chemical_formula_sum 'Li1 Mo1 Ru2'
_cell_length_a 2.7819
_cell_length_b 4.3986
_cell_length_c 4.5930
_cell_angle_alpha 90.00
_cell_angle_beta 90.00
_cell_angle_gamma 90.00
_symmetry_space_group_name_H-M 'P m m m'
_symmetry_Int_Tables_number 47
loop_
_symmetry_equiv_pos_as_xyz
'x,y,z'
'-x,-y,-z'
'-x,-y,z'
'x,y,-z'
'x,-y,-z'
'-x,y,z'
'-x,y,-z'
'x,-y,z'
loop_
_atom_site_label
_atom_site_fract_x
_atom_site_fract_y
_atom_site_fract_z
Li1 0.0000 0.0000 0.0000
Mo1 0.5000 0.0000 0.5000
Ru1 0.0000 0.5000 0.5000
Ru2 0.5000 0.5000 0.0000
```

Summary:
Formation energy from the elements ... 0.373 eV per atom
E_tot ... -7.451 eV per atom
Spin magnetization ... 0.000 μB/atom
Crystal system ... orthorhombic

DFT (GGA-PBE) results for a geometry-optimized LiMo2Ru structure.

CIF file:
```
data_LiMo2Ru
_chemical_formula_sum 'Li2 Mo4 Ru2'
_cell_length_a 2.9798
_cell_length_b 4.4066
_cell_length_c 9.4154
_cell_angle_alpha 90.00
_cell_angle_beta 90.00
_cell_angle_gamma 90.00
_symmetry_space_group_name_H-M 'C m m m'
_symmetry_Int_Tables_number 65
_symmetry_space_group_name_Hall '-C 2 2'
loop_
_atom_site_label
_atom_site_fract_x
_atom_site_fract_y
_atom_site_fract_z
Li1 0.0000 0.0000 0.0000
Mo1 0.0000 0.5000 0.2614
Ru1 0.0000 0.0000 0.5000
```

Summary:
Formation energy from the elements ... 0.346 eV per atom
E_tot ... -7.867 eV per atom
Spin magnetization ... 0.000 μB/atom
Crystal system ... orthorhombic